Record 1
VASP calculation (PBE) on crystalline AcPm7Nd12 at its relaxed geometry.

Results
polymorph energy (0 for the lowest one) = 0 meV/atom
energy of formation = 20 kJ per mole of atoms

Cell: 8.941 8.941 8.941 Å, 89.86 89.86 89.86°
Fractional positions:
Ac1 0.000 0.000 0.000
Pm1 0.060 0.160 0.388
Pm2 0.160 0.388 0.060
Pm3 0.388 0.060 0.160
Pm4 0.500 0.500 0.500
Pm5 0.612 0.940 0.840
Pm6 0.840 0.612 0.940
Pm7 0.940 0.840 0.612
Nd1 0.125 0.714 0.266
Nd2 0.147 0.506 0.625
Nd3 0.266 0.125 0.714
Nd4 0.286 0.734 0.875
Nd5 0.375 0.853 0.494
Nd6 0.494 0.375 0.853
Nd7 0.506 0.625 0.147
Nd8 0.625 0.147 0.506
Nd9 0.714 0.266 0.125
Nd10 0.734 0.875 0.286
Nd11 0.853 0.494 0.375
Nd12 0.875 0.286 0.734



Record 2
VASP calculation (PBE) on crystalline GaOsO3 at its relaxed geometry.

Results
E_form (uncorrected) = 0.068 eV/atom

Cell: 3.799 3.799 3.799 Å, 90.00 90.00 90.00°
Fractional positions:
Ga1 0.000 0.000 0.000
Os1 0.500 0.500 0.500
O1 0.000 0.000 0.500
O2 0.000 0.500 0.000
O3 0.500 0.000 0.000



Record 3
VASP calculation (PBE) on crystalline Pm3Pr2Ge3 at its relaxed geometry.

Results
energy of formation = -48 kJ per mole of atoms

Cell: 11.098 11.098 11.098 Å, 158.77 153.74 34.01°
Fractional positions:
Pm1 0.000 0.000 0.000
Pm2 0.390 0.890 0.500
Pm3 0.610 0.110 0.500
Pr1 0.227 0.227 0.000
Pr2 0.773 0.773 0.000
Ge1 0.121 0.621 0.500
Ge2 0.500 0.500 0.000
Ge3 0.879 0.379 0.500



Record 4
VASP calculation (PBE) on crystalline Ti2TeAu2 at its relaxed geometry.

Results
polymorph energy (0 for the lowest one) = 0 meV/atom
E_form (uncorrected) = -0.274 eV/atom

Cell: 7.098 7.098 3.921 Å, 90.00 90.00 90.00°
Fractional positions:
Ti1 0.150 0.350 0.000
Ti2 0.350 0.850 0.000
Ti3 0.650 0.150 0.000
Ti4 0.850 0.650 0.000
Te1 0.000 0.000 0.000
Te2 0.500 0.500 0.000
Au1 0.141 0.641 0.500
Au2 0.359 0.141 0.500
Au3 0.641 0.859 0.500
Au4 0.859 0.359 0.500



Record 5
VASP calculation (PBE) on crystalline Sr2EuTm at its relaxed geometry.

Results
energy of formation = 18 kJ per mole of atoms

Cell: 4.241 4.241 9.685 Å, 90.00 90.00 90.00°
Fractional positions:
Sr1 0.000 0.000 0.227
Sr2 0.000 0.000 0.773
Eu1 0.500 0.500 0.500
Tm1 0.500 0.500 0.000



Record 6
VASP calculation (PBE) on crystalline ZnMo2Au at its relaxed geometry.

Results
energy of formation = 11 kJ per mole of atoms

Cell: 3.285 3.285 5.982 Å, 90.00 90.00 90.00°
Fractional positions:
Zn1 0.000 0.000 0.000
Mo1 0.000 0.000 0.530
Mo2 0.500 0.500 0.739
Au1 0.500 0.500 0.230



| no. | spin magnetization (μB/f.u.) |
| --- | --- |
| 1 | 0.000 |
| 2 | 4.905 |
| 3 | 0.000 |
| 4 | 0.000 |
| 5 | 7.251 |
| 6 | 0.000 |